The following is a PBE calculation of a relaxed BRhI3 crystal, from the Alexandria database.

Unit cell a=5.0589 b=5.0589 c=5.0589 alpha=90.00 beta=90.00 gamma=90.00
Space group Pm-3m (No. 221)
Symmetry-distinct sites (fractional):
B (0.0000, 0.0000, 0.0000) x1
Rh (0.5000, 0.5000, 0.5000) x1
I (0.0000, 0.0000, 0.5000) x3

excess energy over the best structure of this formula in the dataset: 179 meV per atom
N(E_F): 6.6 states/eV/f.u.
formation energy (no corrections): 588 kJ/mol of formula units

=====

The following is a PBE calculation of a relaxed BRh3I crystal, from the Alexandria database.

Unit cell a=4.8601 b=4.8601 c=4.8601 alpha=90.00 beta=90.00 gamma=90.00
Space group Pm-3m (No. 221)
Symmetry-distinct sites (fractional):
B (0.0000, 0.0000, 0.0000) x1
Rh (0.0000, 0.5000, 0.5000) x3
I (0.5000, 0.5000, 0.5000) x1

excess energy over the best structure of this formula in the dataset: 1741 meV per atom
N(E_F): 7.3 states/eV/f.u.
formation energy (no corrections): 986 kJ/mol of formula units